Record 1
Here is an optimized crystal structure of TiCuGeIr from Alexandria. Energies are from GGA-PBE.

Unit cell a=6.125 b=6.125 c=6.125 alpha=90.00 beta=90.00 gamma=90.00
Space group F-43m (No. 216)
One atom of each set of equivalent atoms:
Ti1 0.000 0.000 0.000 x4
Cu1 0.250 0.250 0.250 x4
Ge1 0.000 0.000 0.500 x4
Ir1 0.250 0.250 0.750 x4

VASP energy in eV per atom: -6.78
Density of states at the Fermi level in states/eV/f.u.: 0.0
Calculated formation energy in eV per atom: -0.414

Record 2
Here is an optimized crystal structure of MgInCoRh from Alexandria. Energies are from GGA-PBE.

Unit cell a=6.256 b=6.256 c=6.256 alpha=90.00 beta=90.00 gamma=90.00
Space group F-43m (No. 216)
One atom of each set of equivalent atoms:
Mg1 0.000 0.000 0.000 x4
In1 0.000 0.000 0.500 x4
Co1 0.250 0.250 0.250 x4
Rh1 0.250 0.250 0.750 x4

VASP energy in eV per atom: -4.92
Density of states at the Fermi level in states/eV/f.u.: 2.3
Calculated formation energy in eV per atom: -0.218